# 1
Compound: BaIrIO2
Source: the Alexandria database
Functional: PBE
Structure: optimized geometry

Cell lengths 4.3777, 4.3777, 7.6409 Å; angles 90.00, 90.00, 90.00 degrees
With the nearest neighbours (Å) after each atom.
Sites, in units of the cell vectors:
I1 0.0000 0.0000 0.5000  4 Ir 3.10
Ir1 0.5000 0.5000 0.5000  4 I 3.10
Ba1 0.0000 0.0000 0.0000  4 O 2.19
O1 0.0000 0.5000 0.0000  2 Ba 2.19
O2 0.5000 0.0000 0.0000  2 Ba 2.19

Properties
**Total moment**: 1.861 μB/cell
**Formation energy (no corrections)**: 461 meV per atom
**Energy above the most stable polymorph in this dataset**: 0.994 eV/atom


# 2
Compound: Rb2ZrAsH
Source: the Alexandria database
Functional: PBE
Structure: optimized geometry

Cell lengths 7.1513, 5.0953, 7.1513 Å; angles 90.00, 90.00, 90.00 degrees
With the nearest neighbours (Å) after each atom.
Sites, in units of the cell vectors:
H1 0.5000 0.5000 0.5000  8 Rb 4.39
As1 0.0000 0.5000 0.0000  2 Zr 2.55
Rb1 0.0000 0.0000 0.5000  2 Zr 3.58
Rb2 0.5000 0.0000 0.0000  2 Zr 3.58
Zr1 0.0000 0.0000 0.0000  2 As 2.55

Properties
**Total moment**: 2.145 μB/cell


# 3
Compound: Mg5Si16Pd10
Source: the Alexandria database
Functional: PBE
Structure: optimized geometry

Cell lengths 8.9463, 8.9463, 8.9463 Å; angles 60.00, 60.00, 60.00 degrees
With the nearest neighbours (Å) after each atom.
Sites, in units of the cell vectors:
Mg1 0.2091 0.5970 0.5970  6 Pd 2.81-2.93
Mg2 0.5970 0.5970 0.2091  6 Pd 2.81-2.93
Mg3 0.5970 0.5970 0.5970  6 Pd 2.81-2.93
Mg4 0.5970 0.2091 0.5970  6 Pd 2.81-2.93
Mg5 0.2500 0.2500 0.2500  4 Pd 2.80
Si1 0.2045 0.6635 0.2045  3 Si 2.36-2.48, 3 Pd 2.41-2.60
Si2 0.9275 0.6635 0.2045  3 Si 2.36-2.48, 3 Pd 2.41-2.60
Si3 0.2045 0.2045 0.6635  3 Si 2.36-2.48, 3 Pd 2.41-2.60
Si4 0.6635 0.2045 0.2045  3 Si 2.36-2.48, 3 Pd 2.41-2.60
Si5 0.9275 0.2045 0.6635  3 Si 2.36-2.48, 3 Pd 2.41-2.60
Si6 0.2045 0.6635 0.9275  3 Si 2.36-2.48, 3 Pd 2.41-2.60
Si7 0.9275 0.2045 0.2045  3 Si 2.36-2.48, 3 Pd 2.41-2.60
Si8 0.6635 0.9275 0.2045  3 Si 2.36-2.48, 3 Pd 2.41-2.60
Si9 0.2045 0.9275 0.2045  3 Si 2.36-2.48, 3 Pd 2.41-2.60
Si10 0.2045 0.9275 0.6635  3 Si 2.36-2.48, 3 Pd 2.41-2.60
Si11 0.5328 0.8224 0.8224  3 Pd 2.45, 3 Si 2.59
Si12 0.8224 0.8224 0.8224  3 Pd 2.45, 3 Si 2.59
Si13 0.6635 0.2045 0.9275  3 Si 2.36-2.48, 3 Pd 2.41-2.60
Si14 0.8224 0.8224 0.5328  3 Pd 2.45, 3 Si 2.59
Si15 0.8224 0.5328 0.8224  3 Pd 2.45, 3 Si 2.59
Si16 0.2045 0.2045 0.9275  3 Si 2.36-2.48, 3 Pd 2.41-2.60
Pd1 0.9865 0.9865 0.5135  6 Si 2.45-2.60
Pd2 0.5135 0.9865 0.5135  6 Si 2.45-2.60
Pd3 0.9865 0.5135 0.9865  6 Si 2.45-2.60
Pd4 0.3777 0.3777 0.8668  3 Si 2.41
Pd5 0.3777 0.3777 0.3777  3 Si 2.41
Pd6 0.8668 0.3777 0.3777  3 Si 2.41
Pd7 0.9865 0.5135 0.5135  6 Si 2.45-2.60
Pd8 0.5135 0.5135 0.9865  6 Si 2.45-2.60
Pd9 0.3777 0.8668 0.3777  3 Si 2.41
Pd10 0.5135 0.9865 0.9865  6 Si 2.45-2.60

Properties
**Total moment**: 0.000 μB/cell
**Formation energy (no corrections)**: -467 meV per atom


no.,raw total energy (eV/atom)
1,-3.989
2,-3.105
3,-5.199